[1]
Compound: AsOsCl2
Source: the Alexandria database
Functional: GGA-PBE
Structure: optimized geometry

The structure in POSCAR format:
```
AsOsCl2
1.0
0.0000 3.0578 4.2048
2.7472 0.0000 4.2048
2.7472 3.0578 0.0000
As Os Cl
1 1 2
Direct
0.0000 0.0000 0.0000
0.5000 0.5000 0.5000
0.0000 0.5000 0.5000
0.5000 0.0000 0.0000
```

## Properties
- Relative energy among the computed polymorphs: 0.894 eV per atom
- Density of states at the Fermi level: 3.32 states/eV per cell
- Calculated volume: 17.661 Å³ per atom
- Magnetization: 0.0 μB per formula unit

---

[2]
Compound: Si2PCl
Source: the Alexandria database
Functional: GGA-PBE
Structure: optimized geometry

The structure in POSCAR format:
```
Si2PCl
1.0
3.2369 0.0000 0.0000
0.0000 3.2369 0.0000
0.0000 0.0000 8.5507
Si P Cl
2 1 1
Direct
0.0000 0.0000 0.0000
0.5000 0.5000 0.3473
0.5000 0.5000 0.0775
0.0000 0.0000 0.7584
```

## Properties
- Relative energy among the computed polymorphs: 0.000 eV per atom
- Density of states at the Fermi level: 0.52 states/eV per cell
- Calculated volume: 22.398 Å³ per atom
- Magnetization: 0.0 μB per formula unit

---

[3]
Compound: Be2IrRh
Source: the Alexandria database
Functional: GGA-PBE
Structure: optimized geometry

The structure in POSCAR format:
```
Be2IrRh
1.0
2.8095 0.0000 0.0000
0.0000 2.8095 0.0000
0.0000 0.0000 5.6096
Be Ir Rh
2 1 1
Direct
0.0000 0.0000 0.0000
0.5000 0.5000 0.2017
0.0000 0.0000 0.4261
0.5000 0.5000 0.7729
```

## Properties
- Density of states at the Fermi level: 2.23 states/eV per cell
- Calculated volume: 11.069 Å³ per atom
- Magnetization: 0.0 μB per formula unit

---

[4]
Compound: SrSnHPb2
Source: the Alexandria database
Functional: GGA-PBE
Structure: optimized geometry

The structure in POSCAR format:
```
SrSnHPb2
1.0
5.0954 0.0000 0.0000
0.0000 5.0954 0.0000
0.0000 0.0000 4.9251
Sr Sn H Pb
1 1 1 2
Direct
0.0000 0.0000 0.0000
0.5000 0.5000 0.0000
0.0000 0.0000 0.5000
0.0000 0.5000 0.5000
0.5000 0.0000 0.5000
```

## Properties
- Density of states at the Fermi level: 1.81 states/eV per cell
- Calculated volume: 25.574 Å³ per atom
- Magnetization: 0.0 μB per formula unit

---

[5]
Compound: CrNiIr2Pb
Source: the Alexandria database
Functional: GGA-PBE
Structure: optimized geometry

The structure in POSCAR format:
```
CrNiIr2Pb
1.0
4.5897 0.0000 0.0000
0.0000 4.5897 0.0000
0.0000 0.0000 4.4321
Cr Ni Ir Pb
1 1 2 1
Direct
0.0000 0.0000 0.0000
0.0000 0.0000 0.5000
0.0000 0.5000 0.5000
0.5000 0.0000 0.5000
0.5000 0.5000 0.0000
```

## Properties
- Density of states at the Fermi level: 5.10 states/eV per cell
- Calculated volume: 18.673 Å³ per atom
- Magnetization: 4.6 μB per formula unit

---

[6]
Compound: Hg12Te3Cl5
Source: the Alexandria database
Functional: GGA-PBE
Structure: optimized geometry

The structure in POSCAR format:
```
Hg12Te3Cl5
1.0
-8.7979 8.7979 8.7979
8.7979 -8.7979 8.7979
8.7979 8.7979 -8.7979
Hg Te Cl
48 12 20
Direct
0.0611 0.2347 0.1260
0.0611 0.3263 0.9351
0.0649 0.6260 0.3913
0.0649 0.9389 0.6737
0.1087 0.7347 0.6737
0.1087 0.8740 0.4351
0.1260 0.0611 0.2347
0.1260 0.5649 0.8913
0.1737 0.2347 0.6087
0.1737 0.4389 0.5649
0.2347 0.1260 0.0611
0.2347 0.6087 0.1737
0.2653 0.3263 0.8913
0.2653 0.4389 0.3740
0.3263 0.8913 0.2653
0.3263 0.9351 0.0611
0.3740 0.2653 0.4389
0.3740 0.6087 0.9351
0.3913 0.0649 0.6260
0.3913 0.8263 0.7653
0.4351 0.1087 0.8740
0.4351 0.8263 0.5611
0.4389 0.3740 0.2653
0.4389 0.5649 0.1737
0.5611 0.4351 0.8263
0.5611 0.6260 0.7347
0.5649 0.1737 0.4389
0.5649 0.8913 0.1260
0.6087 0.1737 0.2347
0.6087 0.9351 0.3740
0.6260 0.3913 0.0649
0.6260 0.7347 0.5611
0.6737 0.0649 0.9389
0.6737 0.1087 0.7347
0.7347 0.5611 0.6260
0.7347 0.6737 0.1087
0.7653 0.3913 0.8263
0.7653 0.8740 0.9389
0.8263 0.5611 0.4351
0.8263 0.7653 0.3913
0.8740 0.4351 0.1087
0.8740 0.9389 0.7653
0.8913 0.1260 0.5649
0.8913 0.2653 0.3263
0.9351 0.0611 0.3263
0.9351 0.3740 0.6087
0.9389 0.6737 0.0649
0.9389 0.7653 0.8740
0.1250 0.2500 0.3750
0.1250 0.3750 0.7500
0.2500 0.3750 0.1250
0.2500 0.8750 0.6250
0.3750 0.1250 0.2500
0.3750 0.7500 0.1250
0.6250 0.2500 0.8750
0.6250 0.8750 0.7500
0.7500 0.1250 0.3750
0.7500 0.6250 0.8750
0.8750 0.6250 0.2500
0.8750 0.7500 0.6250
0.0000 0.0000 0.0000
0.0000 0.0000 0.5000
0.0000 0.5000 0.0000
0.0000 0.5000 0.5000
0.1250 0.7500 0.8750
0.1250 0.8750 0.2500
0.2500 0.1250 0.8750
0.2500 0.6250 0.3750
0.3750 0.2500 0.6250
0.3750 0.6250 0.7500
0.5000 0.0000 0.0000
0.5000 0.0000 0.5000
0.5000 0.5000 0.0000
0.5000 0.5000 0.5000
0.6250 0.3750 0.2500
0.6250 0.7500 0.3750
0.7500 0.3750 0.6250
0.7500 0.8750 0.1250
0.8750 0.1250 0.7500
0.8750 0.2500 0.1250
```

## Properties
- Density of states at the Fermi level: 26.38 states/eV per cell
- Calculated volume: 34.049 Å³ per atom
- Magnetization: 0.0 μB per formula unit

---

no.,DFT total energy (eV per atom)
1,-4.073
2,-4.505
3,-6.347
4,-3.453
5,-6.379
6,-1.205